# 1
Below is a relaxed structure of Ho4Tm3ScSe8, with properties calculated at the PBE level.

CIF file:
```
data_Ho4Tm3ScSe8
_chemical_formula_sum 'Ho12 Tm9 Sc3 Se24'
_symmetry_space_group_name_H-M 'R -3 m'
_symmetry_Int_Tables_number 166
_symmetry_space_group_name_Hall '-R 3 2"'
_cell_length_a 8.0342
_cell_length_b 8.0342
_cell_length_c 19.7441
_cell_angle_alpha 90.00
_cell_angle_beta 90.00
_cell_angle_gamma 120.00
loop_
_atom_site_label
_atom_site_type_symbol
_atom_site_fract_x
_atom_site_fract_y
_atom_site_fract_z
Ho1 Ho 0.0000 0.0000 0.0000
Ho2 Ho 0.0000 0.5000 0.0000
Tm1 Tm 0.0000 0.5000 0.5000
Sc1 Sc 0.0000 0.0000 0.5000
Se1 Se 0.0000 0.0000 0.2487
Se2 Se 0.0041 0.5021 0.2476
```

VASP energy in eV per cell: -278.2
Formation energy from raw total energies in eV/atom: -1.675


# 2
Below is a relaxed structure of Ho3Tm3ScSe8, with properties calculated at the PBE level.

CIF file:
```
data_Ho3Tm3ScSe8
_chemical_formula_sum 'Ho9 Tm9 Sc3 Se24'
_symmetry_space_group_name_H-M 'R -3 m'
_symmetry_Int_Tables_number 166
_symmetry_space_group_name_Hall '-R 3 2"'
_cell_length_a 8.0181
_cell_length_b 8.0181
_cell_length_c 19.6663
_cell_angle_alpha 90.00
_cell_angle_beta 90.00
_cell_angle_gamma 120.00
loop_
_atom_site_label
_atom_site_type_symbol
_atom_site_fract_x
_atom_site_fract_y
_atom_site_fract_z
Ho1 Ho 0.0000 0.5000 0.0000
Tm1 Tm 0.0000 0.5000 0.5000
Sc1 Sc 0.0000 0.0000 0.5000
Se1 Se 0.0000 0.0000 0.2489
Se2 Se 0.0013 0.5007 0.2484
```

VASP energy in eV per cell: -264.0
Formation energy from raw total energies in eV/atom: -1.776


# 3
Below is a relaxed structure of HoTm2ScSe4, with properties calculated at the PBE level.

CIF file:
```
data_HoTm2ScSe4
_chemical_formula_sum 'Ho1 Tm2 Sc1 Se4'
_symmetry_space_group_name_H-M 'P 1 2/m 1'
_symmetry_Int_Tables_number 10
_cell_length_a 6.931
_cell_length_b 3.957
_cell_length_c 6.955
_cell_angle_alpha 90.00
_cell_angle_beta 108.98
_cell_angle_gamma 90.00
loop_
_symmetry_equiv_pos_as_xyz
'x,y,z'
'-x,-y,-z'
'-x,y,-z'
'x,-y,z'
loop_
_atom_site_label
_atom_site_type_symbol
_atom_site_fract_x
_atom_site_fract_y
_atom_site_fract_z
Ho1 Ho 0.000 0.000 0.000
Tm1 Tm 0.500 0.000 0.500
Tm2 Tm 0.500 0.500 0.000
Sc1 Sc 0.000 0.500 0.500
Se1 Se 0.245 0.000 0.743
Se2 Se 0.249 0.500 0.256
```

VASP energy in eV per cell: -47.0
Formation energy from raw total energies in eV/atom: -1.651